# 1
Compound: Tl2CdBr5
Source: the Alexandria database
Functional: PBE
Structure: optimized geometry

Results
- Theoretical density: 4.88 g/cm3
- Final energy: -2.437 eV per atom
- Space-group type: Cmcm, No. 63
- Uncorrected formation energy: -0.69 eV per atom

The structure in extended XYZ format:
```
16
Lattice="2.9892 -7.3632 0.0000 2.9892 7.3632 0.0000 0.0000 0.0000 14.2429" Properties=species:S:1:pos:R:3 pbc="T T T"
Tl 2.9892 5.1422 8.2214
Tl 2.9892 5.1422 13.1430
Tl 2.9892 -5.1422 1.1000
Tl 2.9892 -5.1422 6.0215
Cd 2.9892 4.5657 3.5607
Cd 2.9892 -4.5657 10.6822
Br 2.9892 6.5095 1.6467
Br 2.9892 6.5095 5.4748
Br 2.9892 3.0575 10.6822
Br 2.9892 2.6591 1.4640
Br 2.9892 2.6591 5.6575
Br 2.9892 -2.6591 8.5855
Br 2.9892 -2.6591 12.7789
Br 2.9892 -3.0575 3.5607
Br 2.9892 -6.5095 8.7682
Br 2.9892 -6.5095 12.5963
```


# 2
Compound: TbNdGdLu
Source: the Alexandria database
Functional: PBE
Structure: optimized geometry

Results
- Theoretical density: 8.11 g/cm3
- Final energy: -6.894 eV per atom
- Formation energy: 0.1055 eV per atom
- Space-group type: F-43m, No. 216

The structure in extended XYZ format:
```
4
Lattice="0.0000 4.0210 4.0210 4.0210 0.0000 4.0210 4.0210 4.0210 0.0000" Properties=species:S:1:pos:R:3 pbc="T T T"
Tb 0.0000 0.0000 0.0000
Nd 6.0314 6.0314 6.0314
Gd 2.0105 2.0105 2.0105
Lu 4.0210 4.0210 4.0210
```


# 3
Compound: Li2Ac2PaS6
Source: the Alexandria database
Functional: PBE
Structure: optimized geometry

Results
- Theoretical density: 4.88 g/cm3
- Final energy: -5.711 eV per atom
- Space-group type: R-3m, No. 166
- Uncorrected formation energy: -1.50 eV per atom

The structure in extended XYZ format:
```
11
Lattice="3.6425 2.1030 6.5945 -3.6425 2.1030 6.5945 0.0000 -4.2059 6.5945" Properties=species:S:1:pos:R:3 pbc="T T T"
Li 0.0000 0.0000 1.4352
Li 0.0000 0.0000 18.3482
Ac 0.0000 0.0000 5.9164
Ac 0.0000 0.0000 13.8670
Pa 0.0000 0.0000 9.8917
S 0.0000 -1.9705 8.0611
S -1.7065 0.9852 8.0611
S -1.7065 -0.9852 11.7223
S 1.7065 0.9852 8.0610
S 1.7065 -0.9852 11.7223
S 0.0000 1.9705 11.7223
```


# 4
Compound: LiBi4Pb15
Source: the Alexandria database
Functional: PBE
Structure: optimized geometry

Results
- Theoretical density: 10.52 g/cm3
- Final energy: -3.655 eV per atom
- Formation energy: -0.0020 eV per atom
- Space-group type: P4/mmm, No. 123

The structure in extended XYZ format:
```
20
Lattice="5.0973 0.0000 0.0000 0.0000 5.0973 0.0000 0.0000 0.0000 23.9992" Properties=species:S:1:pos:R:3 pbc="T T T"
Li 0.0000 0.0000 0.0000
Bi 0.0000 0.0000 4.6538
Bi 0.0000 0.0000 9.5434
Bi 0.0000 0.0000 14.4557
Bi 0.0000 0.0000 19.3453
Pb 0.0000 2.5486 2.2588
Pb 0.0000 2.5486 7.1359
Pb 0.0000 2.5486 11.9996
Pb 0.0000 2.5486 16.8632
Pb 0.0000 2.5486 21.7404
Pb 2.5486 0.0000 2.2588
Pb 2.5486 0.0000 7.1359
Pb 2.5486 0.0000 11.9996
Pb 2.5486 0.0000 16.8632
Pb 2.5486 0.0000 21.7404
Pb 2.5486 2.5486 0.0000
Pb 2.5486 2.5486 4.7287
Pb 2.5486 2.5486 9.5949
Pb 2.5486 2.5486 14.4042
Pb 2.5486 2.5486 19.2704
```